Record 1
The following is a DFT calculation (PBE) of In4TcMo after structural relaxation.

## Properties
final energy: -4.380 eV/atom

```
data_In4TcMo
_cell_length_a 7.939
_cell_length_b 7.939
_cell_length_c 7.939
_cell_angle_alpha 90.00
_cell_angle_beta 90.00
_cell_angle_gamma 90.00
_symmetry_space_group_name_H-M 'F -4 3 m'
_symmetry_Int_Tables_number 216
_symmetry_space_group_name_Hall 'F -4 2 3'
loop_
_atom_site_label
_atom_site_fract_x
_atom_site_fract_y
_atom_site_fract_z
_atom_site_occupancy
In1 0.125 0.125 0.125 1
Tc1 0.000 0.000 0.500 1
Mo1 0.250 0.250 0.750 1
```

---

Record 2
The following is a DFT calculation (PBE) of InTcMo2 after structural relaxation.

## Properties
final energy: -8.449 eV/atom

```
data_InTcMo2
_cell_length_a 3.248
_cell_length_b 4.553
_cell_length_c 8.989
_cell_angle_alpha 90.00
_cell_angle_beta 90.00
_cell_angle_gamma 90.00
_symmetry_space_group_name_H-M 'I m m 2'
_symmetry_Int_Tables_number 44
loop_
_symmetry_equiv_pos_as_xyz
'x,y,z'
'-x,-y,z'
'-x,y,z'
'x,-y,z'
'x+1/2,y+1/2,z+1/2'
'-x+1/2,-y+1/2,z+1/2'
'-x+1/2,y+1/2,z+1/2'
'x+1/2,-y+1/2,z+1/2'
loop_
_atom_site_label
_atom_site_fract_x
_atom_site_fract_y
_atom_site_fract_z
_atom_site_occupancy
In1 0.000 0.000 0.000 1
Tc1 0.000 0.500 0.762 1
Mo1 0.000 0.000 0.500 1
Mo2 0.000 0.500 0.233 1
```

---

Formation energy, record by record: 5.87 0.97 eV per formula unit
Total magnetic moment, record by record: 16.02 0.00 μB per cell